Entry 1:
First-principles (PBE-GGA) data for Cu7Ag3 after structural relaxation, as listed in the Open Quantum Materials Database.

The total DFT energy (no corrections) comes out at -3.374 eV per atom. Its energy above the lowest structure with this stoichiometry is 0.301 eV per formula unit. As for the crystal system: tetragonal.

It has space group P4mm (No. 99), with a = 2.764 Å, b = 2.764 Å, c = 17.878 Å, α = 90.00°, β = 90.00° and γ = 90.00°. The asymmetric unit holds Cu at (0.000, 0.000, 0.000), Cu at (0.000, 0.000, 0.178), Cu at (0.000, 0.000, 0.393), Cu at (0.000, 0.000, 0.607), Cu at (0.500, 0.500, 0.089), Cu at (0.500, 0.500, 0.695), Cu at (0.500, 0.500, 0.911), Ag at (0.000, 0.000, 0.803), Ag at (0.500, 0.500, 0.286) and Ag at (0.500, 0.500, 0.500).

Entry 2:
First-principles (PBE-GGA) data for LiSmTc after structural relaxation, as listed in the Open Quantum Materials Database.

The total moment is 4.13 μB/cell. The total DFT energy (no corrections) comes out at -4.552 eV per atom. Its energy above the lowest structure with this stoichiometry is 1.027 eV per formula unit. As for the crystal system: cubic.

It has space group F-43m (No. 216), with a = 6.475 Å, b = 6.475 Å, c = 6.475 Å, α = 90.00°, β = 90.00° and γ = 90.00°. The asymmetric unit holds Li at (0.000, 0.000, 0.000), Sm at (0.250, 0.250, 0.250) and Tc at (0.000, 0.000, 0.500).

Entry 3:
First-principles (PBE-GGA) data for AuO after structural relaxation, as listed in the Open Quantum Materials Database.

The total DFT energy (no corrections) comes out at -3.701 eV per atom. As for the crystal system: orthorhombic.

It has space group Cmmm (No. 65), with a = 3.159 Å, b = 5.398 Å, c = 3.088 Å, α = 90.00°, β = 90.00° and γ = 90.00°. The asymmetric unit holds Au at (0.000, 0.000, 0.000) and O at (0.000, 0.500, 0.500).

Entry 4:
First-principles (PBE-GGA) data for PaTa3O after structural relaxation, as listed in the Open Quantum Materials Database.

The total moment is 0.01 μB/cell. The total DFT energy (no corrections) comes out at -10.034 eV per atom. As for the crystal system: cubic.

It has space group Pm-3m (No. 221), with a = 4.437 Å, b = 4.437 Å, c = 4.437 Å, α = 90.00°, β = 90.00° and γ = 90.00°. The asymmetric unit holds Pa at (0.000, 0.000, 0.000), Ta at (0.000, 0.500, 0.500) and O at (0.500, 0.500, 0.500).

Entry 5:
First-principles (PBE-GGA) data for Tb2Co2Re after structural relaxation, as listed in the Open Quantum Materials Database.

The total moment is 0.02 μB/cell. The total DFT energy (no corrections) comes out at -7.086 eV per atom. As for the crystal system: tetragonal.

It has space group I4/mmm (No. 139), with a = 4.630 Å, b = 4.630 Å, c = 9.071 Å, α = 90.00°, β = 90.00° and γ = 90.00°. The asymmetric unit holds Tb at (0.000, 0.000, 0.181), Co at (0.000, 0.500, 0.000) and Re at (0.000, 0.000, 0.500).

Entry 6:
First-principles (PBE-GGA) data for HoMoC3 after structural relaxation, as listed in the Open Quantum Materials Database.

The total moment is 0.01 μB/cell. The total DFT energy (no corrections) comes out at -8.140 eV per atom. As for the crystal system: monoclinic.

It has space group P2_1/m (No. 11), with a = 5.007 Å, b = 3.679 Å, c = 6.098 Å, α = 90.00°, β = 102.56° and γ = 90.00°. The asymmetric unit holds Ho at (0.173, 0.250, 0.207), Mo at (0.323, 0.250, 0.726), C at (0.121, 0.750, 0.497), C at (0.322, 0.750, 0.976) and C at (0.395, 0.750, 0.495).

Question: Number 2 is which compound?
Answer: LiSmTc

Question: Look up the total DFT energy (no corrections) of the first one.
Answer: -3.374 eV per atom

Question: Which value of total DFT energy (no corrections) does entry 6 give?
Answer: -8.140 eV per atom